# 1
Computed, not measured: AlCu2Ag after structural relaxation at the PBE-GGA level of DFT.

Results
Calculated density = 7.0 g/cm³
E_tot = -3.491 eV per atom
N(E_F) = 3.66 states/eV/cell

```
AlCu2Ag
1.0
6.929 0.000 0.000
0.000 6.929 0.000
0.000 0.000 5.164
Al Cu Ag
4 8 4
Cartesian
0.000 0.000 0.000 Al
0.000 3.464 1.291 Al
3.464 0.000 3.873 Al
3.464 3.464 2.582 Al
1.615 1.732 0.646 Cu
1.732 5.080 1.937 Cu
1.732 5.314 4.519 Cu
1.849 1.732 3.228 Cu
5.080 5.197 3.228 Cu
5.197 1.615 4.519 Cu
5.197 1.849 1.937 Cu
5.314 5.197 0.646 Cu
0.000 0.000 2.582 Ag
0.000 3.464 3.873 Ag
3.464 0.000 1.291 Ag
3.464 3.464 0.000 Ag
```

# 2
Computed, not measured: Al2CuAg after structural relaxation at the PBE-GGA level of DFT.

Results
Calculated density = 6.1 g/cm³
E_tot = -3.685 eV per atom
N(E_F) = 0.96 states/eV/cell

```
Al2CuAg
1.0
2.889 0.000 0.000
0.000 4.556 0.000
0.000 0.000 4.667
Al Cu Ag
2 1 1
Cartesian
0.000 0.000 0.000 Al
1.445 2.278 0.898 Al
0.000 2.278 3.345 Cu
1.445 0.000 2.363 Ag
```

# 3
Computed, not measured: AlCuAg after structural relaxation at the PBE-GGA level of DFT.

Results
Calculated density = 7.3 g/cm³
E_tot = -3.649 eV per atom
N(E_F) = 1.38 states/eV/cell

```
AlCuAg
1.0
4.743 0.000 0.000
0.000 4.463 0.000
-2.345 0.000 4.246
Al Cu Ag
2 2 2
Cartesian
0.486 1.116 0.710 Al
1.912 3.347 3.536 Al
1.933 3.347 0.558 Cu
0.465 1.116 3.689 Cu
-0.320 3.347 2.076 Ag
2.718 1.116 2.170 Ag
```

# 4
Computed, not measured: Al2CuAg after structural relaxation at the PBE-GGA level of DFT.

Results
Calculated density = 6.0 g/cm³
E_tot = -3.645 eV per atom
N(E_F) = 5.04 states/eV/cell

```
Al2CuAg
1.0
2.884 0.000 0.000
-1.442 2.498 0.000
0.000 0.000 25.910
Al Cu Ag
6 3 3
Cartesian
0.000 0.000 0.000 Al
0.000 0.000 6.356 Al
0.000 1.665 17.273 Al
0.000 1.665 23.629 Al
1.442 0.833 8.637 Al
1.442 0.833 14.993 Al
0.000 0.000 13.061 Cu
0.000 1.665 4.424 Cu
1.442 0.833 21.697 Cu
0.000 0.000 19.494 Ag
0.000 1.665 10.857 Ag
1.442 0.833 2.220 Ag
```